! PBE Ba8P3AuI3, optimized geometry; values from VASP
&SYSTEM
  ibrav = 0, nat = 15, ntyp = 4
/
ATOMIC_SPECIES
P 30.97 P.upf
Ba 137.33 Ba.upf
I 126.90 I.upf
Au 196.97 Au.upf
CELL_PARAMETERS angstrom
-1.457 0.089 -9.406
8.616 -2.101 3.462
-7.310 -6.641 1.070
ATOMIC_POSITIONS crystal
P 0.000 0.500 0.500
Ba 0.281 0.034 0.287
P 0.500 0.500 0.500
Ba 0.247 0.494 0.713
I 0.000 0.000 0.000
Ba 0.753 0.034 0.287
Ba 0.735 0.470 0.704
P 0.500 0.000 0.500
I 0.000 0.500 0.000
Ba 0.719 0.966 0.713
Ba 0.265 0.530 0.296
I 0.500 0.500 0.000
Au 0.000 0.000 0.500
Ba 0.753 0.506 0.287
Ba 0.247 0.966 0.713
! DFT total energy in eV per cell: -57.3
! Raw formation energy in meV/atom: -1186
! Space group: R-3m

***

! PBE Ba6P2AuI3, optimized geometry; values from VASP
&SYSTEM
  ibrav = 0, nat = 12, ntyp = 4
/
ATOMIC_SPECIES
P 30.97 P.upf
Ba 137.33 Ba.upf
I 126.90 I.upf
Au 196.97 Au.upf
CELL_PARAMETERS angstrom
8.302 0.002 -0.004
-4.147 7.192 -0.004
-1.389 -2.406 8.425
ATOMIC_POSITIONS crystal
P 0.333 0.667 0.000
P 0.667 0.333 0.000
Ba 0.721 0.721 0.204
I 0.834 0.166 0.500
Ba 0.279 0.279 0.796
Ba 0.932 0.586 0.796
I 0.500 0.500 0.500
Ba 0.414 0.068 0.204
I 0.166 0.834 0.500
Ba 0.586 0.932 0.796
Au 0.000 0.000 0.000
Ba 0.068 0.414 0.204
! DFT total energy in eV per cell: -45.5
! Raw formation energy in meV/atom: -1265
! Space group: C2/m